# 1
Density functional theory data (GGA-PBE) for an optimized crystal structure of Tm8Ge3Te4Pb.

The space group is R-3m (No. 166, hexagonal axes) and the conventional cell measures 8.4863, 8.4863 and 21.1088 Å, with angles of 90.00, 90.00 and 120.00 degrees. Symmetry generates all atoms from Tm at (0.0000, 0.0000, 0.2387), Tm at (0.0111, 0.5055, 0.7589), Ge at (0.0000, 0.5000, 0.5000), Te at (0.0000, 0.0000, 0.0000), Te at (0.0000, 0.5000, 0.0000) and Pb at (0.0000, 0.0000, 0.5000).

As for the crystal system: trigonal. As for the uncorrected formation energy: -1.06 eV/atom.



# 2
Density functional theory data (GGA-PBE) for an optimized crystal structure of Y4GeTe2Pb.

The space group is P2/m (No. 10) and the conventional cell measures 7.5670, 4.3199 and 7.5849 Å, with angles of 90.00, 109.11 and 90.00 degrees. Symmetry generates all atoms from Y at (0.2307, 0.0000, 0.2245), Y at (0.2432, 0.5000, 0.7666), Ge at (0.0000, 0.5000, 0.0000), Te at (0.0000, 0.0000, 0.5000), Te at (0.5000, 0.5000, 0.5000) and Pb at (0.5000, 0.0000, 0.0000).

As for the crystal system: monoclinic. As for the uncorrected formation energy: -1.08 eV/atom.



# 3
Density functional theory data (GGA-PBE) for an optimized crystal structure of ThGePb.

The space group is P-62m (No. 189) and the conventional cell measures 9.1786, 9.1786 and 3.6547 Å, with angles of 90.00, 90.00 and 120.00 degrees. Symmetry generates all atoms from Th at (0.0000, 0.0000, 0.0000), Th at (0.3333, 0.6667, 0.5000), Ge at (0.0000, 0.4588, 0.0000) and Pb at (0.0000, 0.7111, 0.5000).

The calculation puts the energy of formation from the pure elements at 0.01 eV per atom. As for the crystal system: hexagonal. Its energy above the lowest structure with this stoichiometry is 461 meV/atom.



# 4
Density functional theory data (GGA-PBE) for an optimized crystal structure of Th4GePb.

The space group is P4/mcc (No. 124) and the conventional cell measures 7.5908, 7.5908 and 6.2460 Å, with angles of 90.00, 90.00 and 90.00 degrees. Symmetry generates all atoms from Th at (0.1484, 0.3301, 0.0000), Ge at (0.0000, 0.0000, 0.2500) and Pb at (0.5000, 0.5000, 0.2500).

The calculation puts the energy of formation from the pure elements at -0.40 eV per atom. As for the crystal system: tetragonal.



# 5
Density functional theory data (GGA-PBE) for an optimized crystal structure of Th5GePb3.

The space group is P6_3/mcm (No. 193) and the conventional cell measures 9.7009, 9.7009 and 6.6181 Å, with angles of 90.00, 90.00 and 120.00 degrees. Symmetry generates all atoms from Th at (0.0000, 0.2581, 0.2500), Th at (0.3333, 0.6667, 0.0000), Ge at (0.0000, 0.0000, 0.0000) and Pb at (0.0000, 0.3881, 0.7500).

The calculation puts the energy of formation from the pure elements at -0.49 eV per atom. As for the crystal system: hexagonal.



# 6
Density functional theory data (GGA-PBE) for an optimized crystal structure of ThGePb.

The space group is Cmcm (No. 63) and the conventional cell measures 4.4699, 17.1165 and 4.2165 Å, with angles of 90.00, 90.00 and 90.00 degrees. Symmetry generates all atoms from Th at (0.0000, 0.0939, 0.2500), Ge at (0.0000, 0.4486, 0.2500) and Pb at (0.0000, 0.2526, 0.7500).

The calculation puts the energy of formation from the pure elements at -0.45 eV per atom. As for the crystal system: orthorhombic. Its energy above the lowest structure with this stoichiometry is 0 meV/atom.



# 7
Density functional theory data (GGA-PBE) for an optimized crystal structure of Ti12GePb3.

The space group is Pmmm (No. 47) and the conventional cell measures 5.2365, 5.2366 and 10.4816 Å, with angles of 90.00, 90.00 and 90.00 degrees. Symmetry generates all atoms from Ti at (0.0000, 0.0000, 0.1202), Ti at (0.0000, 0.0000, 0.3731), Ti at (0.2456, 0.5000, 0.2375), Ti at (0.5000, 0.2471, 0.5000), Ti at (0.5000, 0.2579, 0.0000), Ge at (0.0000, 0.5000, 0.0000), Pb at (0.0000, 0.5000, 0.5000) and Pb at (0.5000, 0.0000, 0.2497).

The calculation puts the energy of formation from the pure elements at -0.14 eV per atom. As for the crystal system: orthorhombic.



# 8
Density functional theory data (GGA-PBE) for an optimized crystal structure of Ti3GePb.

The space group is Pm-3m (No. 221) and the conventional cell measures 4.7473, 4.7473 and 4.7473 Å, with angles of 90.00, 90.00 and 90.00 degrees. Symmetry generates all atoms from Ti at (0.0000, 0.0000, 0.5000), Ge at (0.0000, 0.0000, 0.0000) and Pb at (0.5000, 0.5000, 0.5000).

The calculation puts the energy of formation from the pure elements at 0.21 eV per atom. As for the crystal system: cubic. Its energy above the lowest structure with this stoichiometry is 0 meV/atom.



# 9
Density functional theory data (GGA-PBE) for an optimized crystal structure of Ti3GePb.

The space group is Pm-3m (No. 221) and the conventional cell measures 5.1250, 5.1250 and 5.1250 Å, with angles of 90.00, 90.00 and 90.00 degrees. Symmetry generates all atoms from Ti at (0.0000, 0.0000, 0.5000), Ge at (0.5000, 0.5000, 0.5000) and Pb at (0.0000, 0.0000, 0.0000).

The calculation puts the energy of formation from the pure elements at 1.19 eV per atom. As for the crystal system: cubic. Its energy above the lowest structure with this stoichiometry is 977 meV/atom.



# 10
Density functional theory data (GGA-PBE) for an optimized crystal structure of TiGe2Pb.

The space group is I-42d (No. 122) and the conventional cell measures 4.3569, 4.3569 and 18.8627 Å, with angles of 90.00, 90.00 and 90.00 degrees. Symmetry generates all atoms from Ti at (0.0000, 0.0000, 0.0000), Ge at (0.1637, 0.2500, 0.1250) and Pb at (0.0000, 0.0000, 0.5000).

The calculation puts the energy of formation from the pure elements at 0.21 eV per atom. As for the crystal system: tetragonal.



# 11
Density functional theory data (GGA-PBE) for an optimized crystal structure of Ti10GePb6.

The space group is P-31m (No. 162) and the conventional cell measures 8.2918, 8.2918 and 5.6396 Å, with angles of 90.00, 90.00 and 120.00 degrees. Symmetry generates all atoms from Ti at (0.0000, 0.2526, 0.2376), Ti at (0.3333, 0.6667, 0.0000), Ti at (0.3333, 0.6667, 0.5000), Ge at (0.0000, 0.0000, 0.5000) and Pb at (0.0000, 0.3898, 0.7479).

The calculation puts the energy of formation from the pure elements at -0.14 eV per atom. As for the crystal system: trigonal.